Below is a relaxed NaCa2GaH crystal, with properties calculated at the PBE-GGA level.

- VASP energy: -13.01 eV per cell

POSCAR file:
```
NaCa2GaH
1.0
-2.110 -3.089 3.252
3.456 -3.411 -0.998
2.601 1.676 3.279
Ca Ga Na H
2 1 1 1
Cartesian
1.728 -1.705 -0.499
-1.055 -1.545 1.626
1.973 -2.412 2.767
1.301 0.838 1.640
0.000 0.000 0.000
```